The following is a DFT calculation (SCAN) of NiH2SeO5 at its PBEsol-relaxed geometry.

abc: 5.2594 5.2594 7.4708
angles: 107.32 107.32 99.44
Positions (direct):
1 O 0.2331 0.3080 0.1518
2 O 0.3080 0.2331 0.6518
3 O 0.7669 0.6920 0.8482
4 O 0.8721 0.1279 0.7500
5 O 0.6920 0.7669 0.3482
6 O 0.6907 0.2970 0.4332
7 O 0.3093 0.7030 0.5668
8 O 0.7030 0.3093 0.0668
9 O 0.2970 0.6907 0.9332
10 O 0.1279 0.8721 0.2500
11 H 0.8622 0.9677 0.8003
12 H 0.9677 0.8622 0.3003
13 H 0.0323 0.1378 0.6997
14 H 0.1378 0.0323 0.1997
15 Ni 0.5000 0.0000 0.5000
16 Ni 0.0000 0.5000 0.0000
17 Se 0.5825 0.4175 0.2500
18 Se 0.4175 0.5825 0.7500



The following is a DFT calculation (SCAN) of Ni3H2Se3O10 at its PBEsol-relaxed geometry.

abc: 7.8772 7.9572 8.1701
angles: 70.47 63.25 68.76
Positions (direct):
1 O 0.3027 0.7119 0.3915
2 O 0.0608 0.2790 0.5431
3 O 0.4668 0.0480 0.3285
4 O 0.7986 0.0988 0.2421
5 O 0.5332 0.9520 0.6715
6 O 0.6973 0.2881 0.6085
7 O 0.4096 0.1759 0.9806
8 O 0.5904 0.8241 0.0194
9 O 0.9114 0.8708 0.6968
10 O 0.7050 0.5020 0.2397
11 O 0.2004 0.8574 0.1140
12 O 0.5602 0.6844 0.5614
13 O 0.9392 0.7210 0.4569
14 O 0.7996 0.1426 0.8860
15 O 0.2014 0.9012 0.7579
16 O 0.0886 0.1292 0.3032
17 O 0.1301 0.2171 0.8550
18 O 0.8699 0.7829 0.1450
19 O 0.2950 0.4980 0.7603
20 O 0.4398 0.3156 0.4386
21 Se 0.4267 0.7580 0.7730
22 Se 0.5733 0.2420 0.2270
23 Se 0.7991 0.6626 0.0509
24 Se 0.8257 0.3392 0.7030
25 Se 0.1743 0.6608 0.2970
26 Se 0.2009 0.3374 0.9491
27 H 0.9631 0.1191 0.3099
28 H 0.0369 0.8809 0.6901
29 H 0.9378 0.8090 0.5936
30 H 0.0622 0.1910 0.4064
31 Ni 0.7069 0.8676 0.3910
32 Ni 0.3490 0.9609 0.1984
33 Ni 0.5000 0.5000 0.5000
34 Ni 0.6510 0.0391 0.8016
35 Ni 0.0000 0.0000 0.0000
36 Ni 0.2931 0.1324 0.6090



The following is a DFT calculation (SCAN) of TaNiH2O at its PBEsol-relaxed geometry.

abc: 3.4968 3.4968 3.9599
angles: 90.00 90.00 90.00
Positions (direct):
1 H 0.0000 0.5000 0.0000
2 H 0.5000 0.0000 0.0000
3 Ta 0.0000 0.0000 0.5000
4 O 0.0000 0.0000 0.0000
5 Ni 0.5000 0.5000 0.5000



The following is a DFT calculation (SCAN) of Ni2PH at its PBEsol-relaxed geometry.

abc: 3.7160 3.7160 3.7160
angles: 60.00 60.00 60.00
Positions (direct):
1 Ni 0.2500 0.2500 0.2500
2 Ni 0.7500 0.7500 0.7500
3 P 0.5000 0.5000 0.5000
4 H 0.0000 0.0000 0.0000



The following is a DFT calculation (SCAN) of Ni3HPb at its PBEsol-relaxed geometry.

abc: 3.7826 3.7826 3.7826
angles: 90.00 90.00 90.00
Positions (direct):
1 H 0.0000 0.0000 0.0000
2 Ni 0.0000 0.0000 0.5000
3 Ni 0.5000 0.0000 0.0000
4 Ni 0.0000 0.5000 0.0000
5 Pb 0.5000 0.5000 0.5000



The following is a DFT calculation (SCAN) of Ni3HPd at its PBEsol-relaxed geometry.

abc: 3.6258 3.6258 3.6258
angles: 90.00 90.00 90.00
Positions (direct):
1 Ni 0.0000 0.0000 0.5000
2 Ni 0.0000 0.5000 0.0000
3 Ni 0.5000 0.0000 0.0000
4 H 0.0000 0.0000 0.0000
5 Pd 0.5000 0.5000 0.5000



| no. | E (eV per atom) |
| --- | --- |
| 1 | -9.279 |
| 2 | -10.980 |
| 3 | -18.699 |
| 4 | -11.431 |
| 5 | -25.419 |
| 6 | -16.908 |